# 1
Density functional theory data (PBE-GGA) for a relaxed BaCo2Re crystal.

a b c (Å): 4.148 4.148 6.260
angles (deg): 70.66 70.66 59.99
Fractional positions:
Ba (0.250, 0.250, 0.250)
Re (0.750, 0.750, 0.750)
Co (0.437, 0.437, 0.688)
Co (0.063, 0.063, 0.812)

Output
crystal system	trigonal
uncorrected energy	-0.250	Ha/atom
ρ	8.50	g cm⁻³
total moment	1.24	μB per formula unit
ΔE_f	137	kJ/mol of formula units
energy above the lowest structure with this stoichiometry	0.0000	eV/atom


# 2
Density functional theory data (PBE-GGA) for a relaxed Cs2TiCuCl6 crystal.

a b c (Å): 7.198 7.193 8.216
angles (deg): 124.82 124.79 78.17
Fractional positions:
Ti (0.000, 0.000, 0.998)
Cs (0.238, 0.760, 0.497)
Cs (0.761, 0.240, 0.498)
Cl (0.274, 0.726, 0.979)
Cl (0.226, 0.225, 0.421)
Cl (0.767, 0.768, 0.539)
Cl (0.774, 0.776, 0.971)
Cu (0.500, 0.501, 0.112)
Cl (0.726, 0.275, 0.979)
Cl (0.233, 0.233, 0.005)

Output
crystal system	monoclinic
uncorrected energy	-0.147	Ha/atom
ρ	3.47	g cm⁻³
total moment	1.00	μB per formula unit


# 3
Density functional theory data (PBE-GGA) for a relaxed La6Pr5Tm crystal.

a b c (Å): 6.428 12.255 8.277
angles (deg): 42.24 82.62 80.01
Fractional positions:
La (0.754, 0.752, 0.000)
Tm (0.000, 0.000, 0.000)
Pr (0.500, 0.165, 0.670)
La (0.751, 0.083, 0.332)
Pr (0.000, 0.669, 0.662)
La (0.751, 0.414, 0.668)
La (0.246, 0.248, 0.000)
Pr (0.000, 0.331, 0.338)
La (0.249, 0.917, 0.668)
Pr (0.500, 0.835, 0.330)
La (0.249, 0.586, 0.332)
Pr (0.500, 0.500, 0.000)

Output
crystal system	monoclinic
uncorrected energy	-0.177	Ha/atom
ρ	6.57	g cm⁻³
total moment	0.00	μB per formula unit
ΔE_f	12	kJ/mol of formula units
energy above the lowest structure with this stoichiometry	0.0000	eV/atom


# 4
Density functional theory data (PBE-GGA) for a relaxed Cs4Pm3ScO8 crystal.

a b c (Å): 7.195 8.051 7.194
angles (deg): 116.52 120.00 90.00
Fractional positions:
Cs (0.500, 0.000, 0.500)
Cs (0.000, 0.000, 0.000)
O (0.260, 0.336, 0.048)
Pm (0.500, 0.500, 0.500)
O (0.212, 0.664, 0.952)
O (0.740, 0.664, 0.952)
Sc (0.000, 0.500, 0.000)
Cs (0.500, 0.000, 0.000)
O (0.723, 0.669, 0.446)
O (0.788, 0.336, 0.576)
Pm (0.000, 0.500, 0.500)
O (0.788, 0.336, 0.048)
Pm (0.500, 0.500, 0.000)
O (0.212, 0.664, 0.424)
O (0.277, 0.331, 0.554)
Cs (0.000, 0.000, 0.500)

Output
crystal system	trigonal
uncorrected energy	-0.238	Ha/atom
ρ	6.12	g cm⁻³
total moment	0.00	μB per formula unit